Record 1
Below is Li5Te after structural relaxation, with properties calculated at the PBE level.

Summary:
formation energy from raw total energies	-160	meV/atom
Fermi-level density of states	3.4	states/eV/cell
E above lowest polymorph	304.5	meV/atom
raw total energy	-13.67	eV/cell

```
Li5Te
1.0
2.675 -4.633 0.000
2.675 4.633 0.000
0.000 0.000 5.096
Li Te
5 1
Cartesian
2.675 1.544 0.000 Li
2.675 -1.544 0.000 Li
1.338 2.317 2.548 Li
2.675 0.000 2.548 Li
1.338 -2.317 2.548 Li
0.000 0.000 0.000 Te
```



Record 2
Below is Li2TlTcCl8 after structural relaxation, with properties calculated at the PBE level.

Summary:
formation energy from raw total energies	-1040	meV/atom
Fermi-level density of states	1.5	states/eV/cell
raw total energy	-43.81	eV/cell

```
Li2TlTcCl8
1.0
6.214 -0.250 -0.005
-0.240 6.027 -0.004
0.004 0.013 7.906
Tl Cl Li Tc
1 8 2 1
Cartesian
0.002 0.006 3.953 Tl
4.157 4.222 7.901 Cl
2.001 1.756 3.949 Cl
0.842 4.783 6.206 Cl
0.840 4.774 1.696 Cl
5.136 1.007 1.692 Cl
5.138 1.016 6.202 Cl
1.820 1.568 -0.002 Cl
3.976 4.034 3.949 Cl
2.984 2.899 1.980 Li
2.994 2.891 5.918 Li
0.000 0.000 0.000 Tc
```